w:
This record from the Alexandria database describes a relaxed structure of SiRh2C. The functional is GGA-PBE.

Unit cell a=5.7552 b=5.7552 c=5.7552 alpha=90.00 beta=90.00 gamma=90.00
Last column: nearest neighbours and their distance in Å.
Element x y z (fractional)
Si 0.0000 0.0000 0.0000  8 Rh 2.49
Si 0.0000 0.5000 0.5000  8 Rh 2.49
Si 0.5000 0.0000 0.5000  8 Rh 2.49
Si 0.5000 0.5000 0.0000  8 Rh 2.49
Rh 0.2500 0.2500 0.2500  4 C 2.49, 4 Si 2.49
Rh 0.2500 0.2500 0.7500  4 C 2.49, 4 Si 2.49
Rh 0.2500 0.7500 0.2500  4 C 2.49, 4 Si 2.49
Rh 0.2500 0.7500 0.7500  4 C 2.49, 4 Si 2.49
Rh 0.7500 0.2500 0.2500  4 C 2.49, 4 Si 2.49
Rh 0.7500 0.2500 0.7500  4 C 2.49, 4 Si 2.49
Rh 0.7500 0.7500 0.2500  4 C 2.49, 4 Si 2.49
Rh 0.7500 0.7500 0.7500  4 Si 2.49, 4 C 2.49
C 0.0000 0.0000 0.5000  8 Rh 2.49
C 0.0000 0.5000 0.0000  8 Rh 2.49
C 0.5000 0.0000 0.0000  8 Rh 2.49
C 0.5000 0.5000 0.5000  8 Rh 2.49

x:
This record from the Alexandria database describes a relaxed structure of SiRh2C. The functional is GGA-PBE.

Unit cell a=5.0343 b=5.0343 c=9.5450 alpha=90.00 beta=90.00 gamma=90.00
Last column: nearest neighbours and their distance in Å.
Element x y z (fractional)
Si 0.0000 0.0000 0.0000  4 Rh 2.36
Si 0.0000 0.5000 0.2500  4 Rh 2.36
Si 0.5000 0.0000 0.7500  4 Rh 2.36
Si 0.5000 0.5000 0.5000  4 Rh 2.36
Rh 0.1833 0.2500 0.6250  2 C 1.96
Rh 0.2500 0.6833 0.8750  2 C 1.96
Rh 0.2500 0.8167 0.3750  2 C 1.96
Rh 0.3167 0.2500 0.1250  2 C 1.96
Rh 0.6833 0.7500 0.1250  2 C 1.96
Rh 0.7500 0.1833 0.3750  2 C 1.96
Rh 0.7500 0.3167 0.8750  2 C 1.96
Rh 0.8167 0.7500 0.6250  2 C 1.96
C 0.0000 0.0000 0.5000  4 Rh 1.96
C 0.0000 0.5000 0.7500  4 Rh 1.96
C 0.5000 0.0000 0.2500  4 Rh 1.96
C 0.5000 0.5000 0.0000  4 Rh 1.96

The most stable of them is x.

w:
This record from the Alexandria database describes a relaxed structure of SiRhC3. The functional is GGA-PBE.

Unit cell a=3.9918 b=3.9918 c=3.9918 alpha=90.00 beta=90.00 gamma=90.00
Last column: nearest neighbours and their distance in Å.
Element x y z (fractional)
Si 0.0000 0.0000 0.0000  12 C 2.82
Rh 0.5000 0.5000 0.5000  6 C 2.00
C 0.0000 0.5000 0.5000  2 Rh 2.00
C 0.5000 0.0000 0.5000  2 Rh 2.00
C 0.5000 0.5000 0.0000  2 Rh 2.00

x:
This record from the Alexandria database describes a relaxed structure of SiRhC3. The functional is GGA-PBE.

Unit cell a=3.7278 b=3.7278 c=3.7278 alpha=90.00 beta=90.00 gamma=90.00
Last column: nearest neighbours and their distance in Å.
Element x y z (fractional)
Si 0.0000 0.0000 0.0000  6 C 1.86
Rh 0.5000 0.5000 0.5000  12 C 2.64
C 0.0000 0.0000 0.5000  2 Si 1.86
C 0.0000 0.5000 0.0000  2 Si 1.86
C 0.5000 0.0000 0.0000  2 Si 1.86

The most stable of them is x.

w:
This record from the Alexandria database describes a relaxed structure of Si2TcRhC. The functional is GGA-PBE.

Unit cell a=4.5562 b=4.5562 c=4.7645 alpha=90.00 beta=90.00 gamma=90.00
Last column: nearest neighbours and their distance in Å.
Element x y z (fractional)
Si 0.0000 0.5000 0.0000  2 Tc 2.28
Si 0.5000 0.0000 0.0000  2 Tc 2.28
Tc 0.0000 0.0000 0.0000  4 Si 2.28, 2 Rh 2.38
Rh 0.0000 0.0000 0.5000  2 Tc 2.38
C 0.5000 0.5000 0.5000  4 Rh 3.22, 8 Si 3.30

x:
This record from the Alexandria database describes a relaxed structure of Si2TcRhC. The functional is GGA-PBE.

Unit cell a=4.3670 b=4.3670 c=5.2987 alpha=90.00 beta=90.00 gamma=90.00
Last column: nearest neighbours and their distance in Å.
Element x y z (fractional)
Si 0.0000 0.5000 0.0000  2 Rh 2.18
Si 0.5000 0.0000 0.0000  2 Rh 2.18
Tc 0.0000 0.0000 0.5000  2 Rh 2.65
Rh 0.0000 0.0000 0.0000  4 Si 2.18
C 0.5000 0.5000 0.5000  4 Tc 3.09, 8 Si 3.43

The most stable of them is x.

w:
This record from the Alexandria database describes a relaxed structure of SnRhC3. The functional is GGA-PBE.

Unit cell a=4.0651 b=4.0651 c=4.0651 alpha=90.00 beta=90.00 gamma=90.00
Last column: nearest neighbours and their distance in Å.
Element x y z (fractional)
Sn 0.0000 0.0000 0.0000  12 C 2.87
Rh 0.5000 0.5000 0.5000  6 C 2.03
C 0.0000 0.5000 0.5000  2 Rh 2.03
C 0.5000 0.0000 0.5000  2 Rh 2.03
C 0.5000 0.5000 0.0000  2 Rh 2.03

x:
This record from the Alexandria database describes a relaxed structure of SnRhC3. The functional is GGA-PBE.

Unit cell a=4.2158 b=4.2158 c=4.2158 alpha=90.00 beta=90.00 gamma=90.00
Last column: nearest neighbours and their distance in Å.
Element x y z (fractional)
Sn 0.0000 0.0000 0.0000  6 C 2.11
Rh 0.5000 0.5000 0.5000  12 C 2.98
C 0.0000 0.0000 0.5000  2 Sn 2.11
C 0.0000 0.5000 0.0000  2 Sn 2.11
C 0.5000 0.0000 0.0000  2 Sn 2.11

The most stable of them is w.

w:
This record from the Alexandria database describes a relaxed structure of SrRhC3. The functional is GGA-PBE.

Unit cell a=4.3982 b=4.3982 c=4.3982 alpha=90.00 beta=90.00 gamma=90.00
Last column: nearest neighbours and their distance in Å.
Element x y z (fractional)
Sr 0.0000 0.0000 0.0000  6 C 2.20
Rh 0.5000 0.5000 0.5000  12 C 3.11
C 0.0000 0.0000 0.5000  2 Sr 2.20
C 0.0000 0.5000 0.0000  2 Sr 2.20
C 0.5000 0.0000 0.0000  2 Sr 2.20

x:
This record from the Alexandria database describes a relaxed structure of SrRhC3. The functional is GGA-PBE.

Unit cell a=4.1058 b=4.1058 c=4.1058 alpha=90.00 beta=90.00 gamma=90.00
Last column: nearest neighbours and their distance in Å.
Element x y z (fractional)
Sr 0.0000 0.0000 0.0000  12 C 2.90
Rh 0.5000 0.5000 0.5000  6 C 2.05
C 0.0000 0.5000 0.5000  2 Rh 2.05
C 0.5000 0.0000 0.5000  2 Rh 2.05
C 0.5000 0.5000 0.0000  2 Rh 2.05

The most stable of them is x.

w:
This record from the Alexandria database describes a relaxed structure of SrRhC. The functional is GGA-PBE.

Unit cell a=7.9057 b=4.8973 c=6.9014 alpha=90.00 beta=115.98 gamma=90.00
Last column: nearest neighbours and their distance in Å.
Element x y z (fractional)
Sr 0.0965 0.0000 0.2909  3 C 2.73-2.85, 2 Rh 2.99
Sr 0.4035 0.5000 0.7091  3 C 2.73-2.85, 2 Rh 2.99
Sr 0.5965 0.5000 0.2909  3 C 2.73-2.85, 2 Rh 2.99
Sr 0.9035 0.0000 0.7091  3 C 2.73-2.85, 2 Rh 2.99
Rh 0.1254 0.5000 0.9172  1 C 1.95
Rh 0.3746 0.0000 0.0828  1 C 1.95
Rh 0.6254 0.0000 0.9172  1 C 1.95
Rh 0.8746 0.5000 0.0828  1 C 1.95
C 0.0279 0.5000 0.6048  1 C 1.31
C 0.4721 0.0000 0.3952  1 C 1.31
C 0.5279 0.0000 0.6048  1 C 1.31
C 0.9721 0.5000 0.3952  1 C 1.31

x:
This record from the Alexandria database describes a relaxed structure of SrRhC. The functional is GGA-PBE.

Unit cell a=3.4445 b=3.4445 c=5.0653 alpha=90.00 beta=90.00 gamma=120.00
Last column: nearest neighbours and their distance in Å.
Element x y z (fractional)
Sr 0.0000 0.0000 0.0000  3 C 2.77
Rh 0.6667 0.3333 0.5116  3 C 2.06
C 0.3333 0.6667 0.6204  3 Rh 2.06

y:
This record from the Alexandria database describes a relaxed structure of SrRhC. The functional is GGA-PBE.

Unit cell a=4.0593 b=4.2251 c=8.6129 alpha=77.34 beta=89.46 gamma=65.04
Last column: nearest neighbours and their distance in Å.
Element x y z (fractional)
Sr 0.0630 0.3519 0.2817  4 C 2.74-2.97
Sr 0.9370 0.6481 0.7183  4 C 2.74-2.97
Rh 0.3242 0.8151 0.9977  3 Rh 2.42-2.53
Rh 0.6758 0.1849 0.0023  3 Rh 2.42-2.53
C 0.4071 0.6528 0.4543  1 C 1.26
C 0.5929 0.3472 0.5457  1 C 1.26

The most stable of them is w.